No. 1
Compound: Tb8Te4P3Pd
Source: the Alexandria database
Functional: PBE-GGA
Structure: optimized geometry

Summary:
Its electronic total energy is -5.850 eV per atom. The formation energy (no corrections) comes out at -1410.3 meV/atom. The magnetization comes out at 0.00 μB/cell.

```
Tb8Te4P3Pd
1.0
4.1721 2.4087 7.0394
-4.1721 2.4087 7.0394
0.0000 -4.8175 7.0394
Tb Te P Pd
8 4 3 1
direct
0.2334 0.7408 0.7408 Tb
0.2365 0.2365 0.2365 Tb
0.2592 0.2592 0.7666 Tb
0.2592 0.7666 0.2592 Tb
0.7408 0.2334 0.7408 Tb
0.7408 0.7408 0.2334 Tb
0.7635 0.7635 0.7635 Tb
0.7666 0.2592 0.2592 Tb
0.0000 0.0000 0.0000 Te
0.0000 0.5000 0.5000 Te
0.5000 0.0000 0.5000 Te
0.5000 0.5000 0.0000 Te
0.0000 0.0000 0.5000 P
0.0000 0.5000 0.0000 P
0.5000 0.0000 0.0000 P
0.5000 0.5000 0.5000 Pd
```



No. 2
Compound: Pm3Al2Si3
Source: the Alexandria database
Functional: PBE-GGA
Structure: optimized geometry

Summary:
Its electronic total energy is -5.360 eV per atom. The formation energy (no corrections) comes out at -608.9 meV/atom. The magnetization comes out at 0.00 μB/cell.

```
Pm3Al2Si3
1.0
2.0996 -5.6176 0.0000
2.0996 5.6176 0.0000
0.0000 0.0000 14.5626
Pm Al Si
6 4 6
direct
0.0650 0.9350 0.6144 Pm
0.0650 0.9350 0.8856 Pm
0.3589 0.6411 0.7500 Pm
0.6411 0.3589 0.2500 Pm
0.9350 0.0650 0.1144 Pm
0.9350 0.0650 0.3856 Pm
0.2223 0.7777 0.0975 Al
0.2223 0.7777 0.4025 Al
0.7777 0.2223 0.5975 Al
0.7777 0.2223 0.9025 Al
0.3504 0.6496 0.2500 Si
0.3857 0.6143 0.5399 Si
0.3857 0.6143 0.9601 Si
0.6143 0.3857 0.0399 Si
0.6143 0.3857 0.4601 Si
0.6496 0.3504 0.7500 Si
```